Entry 1:
Er2BAsRh6 | PBE-GGA | optimized geometry

The value obtained for the final energy is -70.232 eV per cell. For the volume, the calculation gives 16.93 A^3/atom. Its energy of formation from the pure elements is -0.567 eV per atom.

The space group is P4/mmm (No. 123) and the conventional cell measures 4.420, 4.420 and 8.664 Å, with angles of 90.00, 90.00 and 90.00 degrees. The asymmetric unit holds Er at (0.000, 0.000, 0.234), B at (0.500, 0.500, 0.000), As at (0.500, 0.500, 0.500), Rh at (0.000, 0.500, 0.000), Rh at (0.000, 0.500, 0.500) and Rh at (0.500, 0.500, 0.231).

Entry 2:
Er4BAsS2 | PBE-GGA | optimized geometry

The value obtained for the final energy is -98.470 eV per cell. For the volume, the calculation gives 21.16 A^3/atom. The energy relative to the elements, uncorrected comes out at -1.43 eV per atom.

The space group is I-4m2 (No. 119) and the conventional cell measures 5.516, 5.516 and 11.128 Å, with angles of 90.00, 90.00 and 90.00 degrees. The asymmetric unit holds Er at (0.000, 0.000, 0.232), Er at (0.000, 0.500, 0.502), B at (0.000, 0.000, 0.000), As at (0.000, 0.500, 0.250), S at (0.000, 0.000, 0.500) and S at (0.000, 0.500, 0.750).

Entry 3:
BAsF3 | PBE-GGA | optimized geometry

Its energy above the most stable polymorph in this dataset is 0 meV/atom. The value obtained for the final energy is -18.640 eV per cell. For the volume, the calculation gives 15.30 A^3/atom. The energy relative to the elements, uncorrected comes out at -0.34 eV per atom.

The space group is Pm-3m (No. 221) and the conventional cell measures 4.245, 4.245 and 4.245 Å, with angles of 90.00, 90.00 and 90.00 degrees. The asymmetric unit holds B at (0.000, 0.000, 0.000), As at (0.500, 0.500, 0.500) and F at (0.000, 0.500, 0.500).

Entry 4:
B3AsF | PBE-GGA | optimized geometry

Its energy above the most stable polymorph in this dataset is 0 meV/atom. The value obtained for the final energy is -18.049 eV per cell. For the volume, the calculation gives 14.44 A^3/atom. The energy relative to the elements, uncorrected comes out at 1.70 eV per atom.

The space group is Pm-3m (No. 221) and the conventional cell measures 4.164, 4.164 and 4.164 Å, with angles of 90.00, 90.00 and 90.00 degrees. The asymmetric unit holds B at (0.000, 0.000, 0.500), As at (0.000, 0.000, 0.000) and F at (0.500, 0.500, 0.500).